Mg7Sn3Bi | PBE-GGA | optimized geometry

Energy relative to the elements (meV/atom): -72
Calculated volume (Å³/cell): 322.0
Theoretical density (Mg/m³): 3.79
N(E_F) (states/eV per cell): 5.0
Magnetic moment (μB per cell): 0.00
Symmetry: C2/m (12)

a = 8.368 Å, b = 6.900 Å, c = 6.900 Å
α = 91.64°, β = 114.20°, γ = 114.20°
Fractional coordinates of all 11 atoms:
Mg 0.270 0.129 0.129
Mg 0.249 0.119 0.633
Mg 0.751 0.367 0.881
Mg 0.249 0.633 0.119
Mg 0.000 0.500 0.500
Mg 0.751 0.881 0.367
Mg 0.730 0.871 0.871
Sn 0.000 0.775 0.225
Sn 0.500 0.000 0.000
Sn 0.000 0.225 0.775
Bi 0.500 0.500 0.500


MgSnBi | PBE-GGA | optimized geometry

Energy relative to the elements (meV/atom): -30
Calculated volume (Å³/cell): 165.5
Theoretical density (Mg/m³): 7.06
N(E_F) (states/eV per cell): 2.9
Magnetic moment (μB per cell): 0.00
Symmetry: P4/nmm (129)

a = 4.070 Å, b = 4.070 Å, c = 9.991 Å
α = 90.00°, β = 90.00°, γ = 90.00°
Fractional coordinates of all 6 atoms:
Mg 0.000 0.500 0.592
Mg 0.500 0.000 0.408
Bi 0.500 0.000 0.717
Bi 0.000 0.500 0.283
Sn 0.000 0.500 0.921
Sn 0.500 0.000 0.079


Mg2SnBi2 | PBE-GGA | optimized geometry

Energy relative to the elements (meV/atom): 27
Calculated volume (Å³/cell): 150.1
Theoretical density (Mg/m³): 6.47
Excess energy over the best structure of this formula in the dataset (meV per atom): 74
N(E_F) (states/eV per cell): 2.3
Magnetic moment (μB per cell): 0.00
Symmetry: I4/mmm (139)

a = 4.495 Å, b = 4.495 Å, c = 8.083 Å
α = 73.86°, β = 73.86°, γ = 90.00°
Fractional coordinates of all 5 atoms:
Mg 0.750 0.250 0.500
Mg 0.250 0.750 0.500
Bi 0.386 0.386 0.228
Bi 0.614 0.614 0.772
Sn 0.000 0.000 0.000


MgSn2Bi2 | PBE-GGA | optimized geometry

Energy relative to the elements (meV/atom): 112
Calculated volume (Å³/cell): 306.9
Theoretical density (Mg/m³): 7.35
Excess energy over the best structure of this formula in the dataset (meV per atom): 9
N(E_F) (states/eV per cell): 5.7
Magnetic moment (μB per cell): 0.00
Symmetry: P4/mbm (127)

a = 8.681 Å, b = 8.681 Å, c = 4.072 Å
α = 90.00°, β = 90.00°, γ = 90.00°
Fractional coordinates of all 10 atoms:
Mg 0.000 0.000 0.000
Mg 0.500 0.500 0.000
Bi 0.341 0.841 0.000
Bi 0.841 0.659 0.000
Bi 0.659 0.159 0.000
Bi 0.159 0.341 0.000
Sn 0.141 0.641 0.500
Sn 0.641 0.859 0.500
Sn 0.859 0.359 0.500
Sn 0.359 0.141 0.500